Material: Ac2ErMoO8
Method: DFT, PBE+U
State: relaxed

Geometry as extended XYZ:
```
12
Lattice="5.356 0.000 0.000 0.000 7.039 0.000 -0.121 0.000 5.357" Properties=species:S:1:pos:R:3 pbc="T T T"
Ac 0.000 1.726 0.000
Ac 0.000 5.313 0.000
Er 2.618 3.519 2.678
Mo 2.618 0.000 2.678
O 1.082 3.519 1.116
O 1.268 0.000 1.310
O 1.693 1.495 3.590
O 1.693 5.544 3.590
O 3.542 1.495 1.767
O 3.542 5.544 1.767
O 3.967 0.000 4.047
O 4.153 3.519 4.241
```

Results
M_tot = 0.50 μB/cell
Symmetry = P2/m (10)
Uncorrected energy = -0.276 Ha/atom